A relaxed LaNiOs crystal, computed with GGA-PBE.

Properties
The space-group type is P-6m2 (187). The energy above the lowest structure with this stoichiometry comes out at 0.64 eV per formula unit. The energy is -7.324 eV per atom. For the density of states at the Fermi level, the calculation gives 4.161 states/eV per cell. Its formation energy is -11 meV per atom.

abc: 4.131 4.131 4.253
angles: 90.00 90.00 120.00
Site moments in Bohr magnetons follow the coordinates.
Element x y z (fractional)
Os: 0.333 0.667 0.500  0.43
Ni: 0.000 0.000 0.500  0.32
La: 0.667 0.333 0.000  -0.01